[1]
A relaxed DyErNb crystal. Source: Alexandria, functional PBE-GGA.

Lattice parameters (Å, degrees): 4.9494 5.2104 6.7013 90.42 111.67 90.00
Closest atoms and distances in Å follow each position.
Fractional positions:
Nb 0.7504 0.1690 0.5009  3 Dy 2.92-3.10, 3 Er 2.93-3.11, 2 Nb 3.04
Nb 0.2496 0.8310 0.4991  3 Dy 2.92-3.10, 3 Er 2.93-3.11, 2 Nb 3.04
Dy 0.6059 0.7242 0.2119  3 Nb 2.92-3.10
Dy 0.3941 0.2758 0.7881  3 Nb 2.92-3.10
Er 0.8939 0.7257 0.7878  3 Nb 2.93-3.11
Er 0.1061 0.2743 0.2122  3 Nb 2.93-3.11

E, Ry per atom: -0.45559
Volume, Å³ per atom: 26.765
DOS(E_F), states/eV/cell: 6.75
Energy relative to the elements, eV/atom: 0.21


[2]
A relaxed DyEr2Nb crystal. Source: Alexandria, functional PBE-GGA.

Lattice parameters (Å, degrees): 3.2780 3.2780 11.6698 81.93 81.93 60.00
Closest atoms and distances in Å follow each position.
Fractional positions:
Nb 0.0000 0.0000 0.0000  2 Er 2.89
Dy 0.5000 0.5000 0.5000  6 Dy 3.28, 6 Er 3.44
Er 0.0835 0.0835 0.7494  1 Nb 2.89
Er 0.9165 0.9165 0.2506  1 Nb 2.89

E, Ry per atom: -0.39928
Volume, Å³ per atom: 26.789
DOS(E_F), states/eV/cell: 5.60
Energy relative to the elements, eV/atom: 0.52


[3]
A relaxed NdDy3Er4 crystal. Source: Alexandria, functional PBE-GGA.

Lattice parameters (Å, degrees): 6.2592 7.2468 11.2380 90.00 90.00 90.00
Closest atoms and distances in Å follow each position.
Fractional positions:
Nd 0.1472 0.3738 0.0000  6 Dy 3.50-3.63, 6 Er 3.52-3.65
Nd 0.6472 0.6262 0.5000  6 Dy 3.50-3.63, 6 Er 3.52-3.65
Dy 0.6471 0.6268 0.0000  6 Er 3.49-3.65, 4 Dy 3.50-3.51, 2 Nd 3.63
Dy 0.9812 0.6272 0.2501  6 Er 3.50-3.65, 2 Nd 3.50-3.51, 4 Dy 3.50-3.63
Dy 0.4812 0.3728 0.2499  6 Er 3.50-3.65, 2 Nd 3.50-3.51, 4 Dy 3.50-3.63
Dy 0.1471 0.3732 0.5000  6 Er 3.49-3.65, 4 Dy 3.50-3.51, 2 Nd 3.63
Dy 0.4812 0.3728 0.7501  6 Er 3.50-3.65, 2 Nd 3.50-3.51, 4 Dy 3.50-3.63
Dy 0.9812 0.6272 0.7499  6 Er 3.50-3.65, 2 Nd 3.50-3.51, 4 Dy 3.50-3.63
Er 0.1479 0.8769 0.0000  6 Er 3.48-3.61, 4 Dy 3.50-3.62, 2 Nd 3.60-3.65
Er 0.6486 0.1228 0.0000  6 Er 3.47-3.61, 4 Dy 3.50-3.65, 2 Nd 3.61-3.63
Er 0.9810 0.1231 0.2516  6 Er 3.47-3.60, 5 Dy 3.49-3.65, 1 Nd 3.52
Er 0.4810 0.8769 0.2484  6 Er 3.47-3.60, 5 Dy 3.49-3.65, 1 Nd 3.52
Er 0.1486 0.8772 0.5000  6 Er 3.47-3.61, 4 Dy 3.50-3.65, 2 Nd 3.61-3.63
Er 0.6479 0.1231 0.5000  6 Er 3.48-3.61, 4 Dy 3.50-3.62, 2 Nd 3.60-3.65
Er 0.4810 0.8769 0.7516  6 Er 3.47-3.60, 5 Dy 3.49-3.65, 1 Nd 3.52
Er 0.9810 0.1231 0.7484  6 Er 3.47-3.60, 5 Dy 3.49-3.65, 1 Nd 3.52

E, Ry per atom: -0.33766
Distance to the lowest polymorph of the same formula, meV per atom: 0.0
Volume, Å³ per atom: 31.859
DOS(E_F), states/eV/cell: 26.54
Energy relative to the elements, eV/atom: 0.01